Compound: K2CdSe
Source: Alexandria via LeMat-Bulk
Functional: PBE
Structure: relaxed

```
data_K2CdSe
_cell_length_a 8.077
_cell_length_b 8.077
_cell_length_c 8.077
_cell_angle_alpha 90.00
_cell_angle_beta 90.00
_cell_angle_gamma 90.00
_symmetry_space_group_name_H-M 'F -4 3 m'
_symmetry_Int_Tables_number 216
_symmetry_space_group_name_Hall 'F -4 2 3'
loop_
_atom_site_label
_atom_site_type_symbol
_atom_site_fract_x
_atom_site_fract_y
_atom_site_fract_z
_atom_site_occupancy
K1 K 0.000 0.000 0.000 1
K2 K 0.250 0.250 0.250 1
Cd1 Cd 0.000 0.000 0.500 1
Se1 Se 0.250 0.250 0.750 1
```

Volume = 527.0 Å³/cell
Total moment = 0.00 μB/cell
Raw formation energy = -467 meV/atom
Uncorrected energy = -2.12 eV per atom
ΔE to the lowest computed polymorph = 0.190 eV/atom
Calculated density = 3.40 g/cm3